Model i:
# Sr2La2Y

A relaxed Sr2La2Y crystal (PBE, the Alexandria database).

Properties
Fermi-level density of states ... 15.64 states/eV/cell

abc: 10.0590 10.0590 4.0175
angles: 90.00 90.00 90.00
Element x y z (fractional)
Sr (0.1467, 0.3533, 0.0000)
Sr (0.3533, 0.8533, 0.0000)
Sr (0.6467, 0.1467, 0.0000)
Sr (0.8533, 0.6467, 0.0000)
La (0.1547, 0.6547, 0.5000)
La (0.3453, 0.1547, 0.5000)
La (0.6547, 0.8453, 0.5000)
La (0.8453, 0.3453, 0.5000)
Y (0.0000, 0.0000, 0.0000)
Y (0.5000, 0.5000, 0.0000)


Model ii:
# Sr2La2Y

A relaxed Sr2La2Y crystal (PBE, the Alexandria database).

Properties
Fermi-level density of states ... 6.09 states/eV/cell

abc: 9.7551 9.7551 9.7551
angles: 151.18 151.18 41.21
Element x y z (fractional)
Sr (0.2500, 0.7500, 0.5000)
Sr (0.7500, 0.2500, 0.5000)
La (0.0834, 0.0834, 0.0000)
La (0.9166, 0.9166, 0.0000)
Y (0.5000, 0.5000, 0.0000)


Of them, the most stable is model i and the least stable is model ii.


Model i:
# SrLaZn

A relaxed SrLaZn crystal (PBE, the Alexandria database).

Properties
Fermi-level density of states ... 4.49 states/eV/cell

abc: 3.9597 3.9597 7.9969
angles: 90.00 90.00 120.00
Element x y z (fractional)
Sr (0.0000, 0.0000, 0.0000)
La (0.3333, 0.6667, 0.5618)
Zn (0.6667, 0.3333, 0.2925)


Model ii:
# SrLaZn

A relaxed SrLaZn crystal (PBE, the Alexandria database).

Properties
Fermi-level density of states ... 2.62 states/eV/cell

abc: 7.4714 7.4714 7.4714
angles: 150.28 150.28 42.53
Element x y z (fractional)
Sr (0.0000, 0.0000, 0.0000)
La (0.7327, 0.7327, 0.0000)
Zn (0.3520, 0.3520, 0.0000)


Of them, the most stable is model ii and the least stable is model i.


Model i:
# Sr2LaZr

A relaxed Sr2LaZr crystal (PBE, the Alexandria database).

Properties
Fermi-level density of states ... 5.97 states/eV/cell

abc: 7.3864 7.3864 7.3864
angles: 150.23 128.01 61.06
Element x y z (fractional)
Sr (0.0000, 0.0000, 0.0000)
Sr (0.7150, 0.2150, 0.5000)
La (0.4306, 0.4306, 0.0000)
Zr (0.2373, 0.7373, 0.5000)


Model ii:
# Sr2LaZr

A relaxed Sr2LaZr crystal (PBE, the Alexandria database).

Properties
Fermi-level density of states ... 5.69 states/eV/cell

abc: 6.2408 6.2408 6.9083
angles: 99.11 99.11 34.33
Element x y z (fractional)
Sr (0.0000, 0.0000, 0.0000)
Sr (0.2362, 0.2362, 0.7311)
La (0.7639, 0.7639, 0.2885)
Zr (0.4900, 0.4900, 0.4611)


Model iii:
# Sr2LaZr

A relaxed Sr2LaZr crystal (PBE, the Alexandria database).

Properties
Fermi-level density of states ... 5.98 states/eV/cell

abc: 6.7175 6.7175 6.2716
angles: 100.97 100.97 32.12
Element x y z (fractional)
Sr (0.2384, 0.2384, 0.2371)
Sr (0.7616, 0.7616, 0.7629)
La (0.0000, 0.0000, 0.5000)
Zr (0.5000, 0.5000, 0.0000)


Of them, the most stable is model ii and the least stable is model iii.


Model i:
# Sr2LaZr

A relaxed Sr2LaZr crystal (PBE, the Alexandria database).

Properties
Fermi-level density of states ... 4.46 states/eV/cell

abc: 4.0991 4.0991 9.5348
angles: 90.00 90.00 90.00
Element x y z (fractional)
Sr (0.0000, 0.0000, 0.0000)
Sr (0.5000, 0.5000, 0.3340)
La (0.5000, 0.5000, 0.7203)
Zr (0.0000, 0.0000, 0.5779)


Model ii:
# Sr2LaZr

A relaxed Sr2LaZr crystal (PBE, the Alexandria database).

Properties
Fermi-level density of states ... 6.80 states/eV/cell

abc: 3.6012 3.6012 11.5073
angles: 90.00 90.00 90.00
Element x y z (fractional)
Sr (0.0000, 0.0000, 0.2252)
Sr (0.0000, 0.0000, 0.7748)
La (0.5000, 0.5000, 0.5000)
Zr (0.5000, 0.5000, 0.0000)


Model iii:
# Sr2LaZr

A relaxed Sr2LaZr crystal (PBE, the Alexandria database).

Properties
Fermi-level density of states ... 8.60 states/eV/cell

abc: 5.9853 5.9853 5.9853
angles: 60.00 60.00 60.00
Element x y z (fractional)
Sr (0.2500, 0.2500, 0.2500)
Sr (0.7500, 0.7500, 0.7500)
La (0.0000, 0.0000, 0.0000)
Zr (0.5000, 0.5000, 0.5000)


Of them, the most stable is model i and the least stable is model iii.


Model i:
# Sr2LaZr

A relaxed Sr2LaZr crystal (PBE, the Alexandria database).

Properties
Fermi-level density of states ... 5.87 states/eV/cell

abc: 3.5751 3.5751 12.5265
angles: 90.00 90.00 110.24
Element x y z (fractional)
Sr (0.0000, 0.0000, 0.2294)
Sr (0.0000, 0.0000, 0.7706)
La (0.5000, 0.5000, 0.5000)
Zr (0.5000, 0.5000, 0.0000)


Model ii:
# Sr2LaZr

A relaxed Sr2LaZr crystal (PBE, the Alexandria database).

Properties
Fermi-level density of states ... 7.68 states/eV/cell

abc: 6.3168 6.3168 6.3168
angles: 128.53 128.53 75.77
Element x y z (fractional)
Sr (0.0000, 0.0000, 0.0000)
Sr (0.7500, 0.2500, 0.5000)
La (0.5000, 0.5000, 0.0000)
Zr (0.2500, 0.7500, 0.5000)


Of them, the most stable is model i and the least stable is model ii.


Model i:
# Sr2LaZr

A relaxed Sr2LaZr crystal (PBE, the Alexandria database).

Properties
Fermi-level density of states ... 6.79 states/eV/cell

abc: 6.7354 6.7354 6.7354
angles: 135.50 135.50 64.76
Element x y z (fractional)
Sr (0.2500, 0.7500, 0.5000)
Sr (0.7500, 0.2500, 0.5000)
La (0.0000, 0.0000, 0.0000)
Zr (0.5000, 0.5000, 0.0000)


Model ii:
# Sr2LaZr

A relaxed Sr2LaZr crystal (PBE, the Alexandria database).

Properties
Fermi-level density of states ... 6.41 states/eV/cell

abc: 7.4800 7.4800 7.4800
angles: 150.26 132.72 56.85
Element x y z (fractional)
Sr (0.2217, 0.2217, 0.0000)
Sr (0.7783, 0.7783, 0.0000)
La (0.5000, 0.0000, 0.5000)
Zr (0.0000, 0.5000, 0.5000)


Model iii:
# Sr2LaZr

A relaxed Sr2LaZr crystal (PBE, the Alexandria database).

Properties
Fermi-level density of states ... 5.78 states/eV/cell

abc: 12.7888 12.7888 12.7888
angles: 16.52 16.52 16.52
Element x y z (fractional)
Sr (0.2428, 0.2428, 0.2428)
Sr (0.7572, 0.7572, 0.7572)
La (0.0000, 0.0000, 0.0000)
Zr (0.5000, 0.5000, 0.5000)


Model iv:
# Sr2LaZr

A relaxed Sr2LaZr crystal (PBE, the Alexandria database).

Properties
Fermi-level density of states ... 14.42 states/eV/cell

abc: 7.5449 7.5449 7.5449
angles: 101.75 101.75 126.34
Element x y z (fractional)
Sr (0.1080, 0.6250, 0.9830)
Sr (0.3750, 0.3580, 0.4830)
Sr (0.6420, 0.1250, 0.0170)
Sr (0.8750, 0.8920, 0.5170)
La (0.2500, 0.7500, 0.5000)
La (0.5000, 0.5000, 0.0000)
Zr (0.0000, 0.0000, 0.0000)
Zr (0.7500, 0.2500, 0.5000)


Of them, the most stable is model iii and the least stable is model iv.


Model i:
# Sr2LaZr

A relaxed Sr2LaZr crystal (PBE, the Alexandria database).

Properties
Fermi-level density of states ... 9.09 states/eV/cell

abc: 5.9696 5.9696 5.9696
angles: 60.00 60.00 60.00
Element x y z (fractional)
Sr (0.0000, 0.0000, 0.0000)
Sr (0.2500, 0.2500, 0.2500)
La (0.7500, 0.7500, 0.7500)
Zr (0.5000, 0.5000, 0.5000)


Model ii:
# Sr2LaZr

A relaxed Sr2LaZr crystal (PBE, the Alexandria database).

Properties
Fermi-level density of states ... 6.02 states/eV/cell

abc: 3.6097 6.2803 6.6797
angles: 90.00 96.96 90.00
Element x y z (fractional)
Sr (0.2341, 0.0000, 0.2601)
Sr (0.7659, 0.0000, 0.7399)
La (0.5000, 0.5000, 0.0000)
Zr (0.0000, 0.5000, 0.5000)


Model iii:
# Sr2LaZr

A relaxed Sr2LaZr crystal (PBE, the Alexandria database).

Properties
Fermi-level density of states ... 7.06 states/eV/cell

abc: 4.3477 4.3477 8.1379
angles: 90.00 90.00 90.00
Element x y z (fractional)
Sr (0.0000, 0.0000, 0.2255)
Sr (0.0000, 0.0000, 0.7745)
La (0.5000, 0.5000, 0.5000)
Zr (0.5000, 0.5000, 0.0000)


Of them, the most stable is model ii and the least stable is model iii.


Model i:
# SrLa2Zr

A relaxed SrLa2Zr crystal (PBE, the Alexandria database).

Properties
Fermi-level density of states ... 5.61 states/eV/cell

abc: 12.3587 12.3587 12.3587
angles: 16.98 16.98 16.98
Element x y z (fractional)
Sr (0.0000, 0.0000, 0.0000)
La (0.2390, 0.2390, 0.2390)
La (0.7610, 0.7610, 0.7610)
Zr (0.5000, 0.5000, 0.5000)


Model ii:
# SrLa2Zr

A relaxed SrLa2Zr crystal (PBE, the Alexandria database).

Properties
Fermi-level density of states ... 6.27 states/eV/cell

abc: 3.6237 5.0572 7.6966
angles: 90.00 90.00 90.00
Element x y z (fractional)
Sr (0.0000, 0.0000, 0.0000)
La (0.0000, 0.0000, 0.5382)
La (0.5000, 0.5000, 0.3044)
Zr (0.5000, 0.5000, 0.7322)


Model iii:
# SrLa2Zr

A relaxed SrLa2Zr crystal (PBE, the Alexandria database).

Properties
Fermi-level density of states ... 5.00 states/eV/cell

abc: 5.9947 5.9947 6.8742
angles: 97.19 97.19 34.55
Element x y z (fractional)
Sr (0.0000, 0.0000, 0.0000)
La (0.2380, 0.2380, 0.7111)
La (0.7620, 0.7620, 0.2889)
Zr (0.5000, 0.5000, 0.5000)


Model iv:
# SrLa2Zr

A relaxed SrLa2Zr crystal (PBE, the Alexandria database).

Properties
Fermi-level density of states ... 6.45 states/eV/cell

abc: 6.3047 6.3047 6.4871
angles: 99.16 99.16 33.08
Element x y z (fractional)
Sr (0.0000, 0.0000, 0.0000)
La (0.5171, 0.5171, 0.5225)
La (0.7645, 0.7645, 0.2898)
Zr (0.2492, 0.2492, 0.7328)


Of them, the most stable is model i and the least stable is model iv.